Below is a crystal of ZnTeSeN2 relaxed with PBEsol, with properties calculated at the SCAN level.

Values from the calculation:
For the formation energy (no corrections), the calculation gives 1.355 eV per atom. The space group is P4/mmm (123). For the magnetization, the calculation gives 3.668 μB per formula unit.

a = 4.0341 Å, b = 4.0341 Å, c = 5.0565 Å
α = 90.00°, β = 90.00°, γ = 90.00°
Last column: nearest neighbours and their distance in Å.
Atoms (fractional coordinates):
Zn 0.0000 0.0000 0.0000  4 N 2.02
Te 0.5000 0.5000 0.5000  4 Se 2.85
Se 0.0000 0.0000 0.5000  2 Zn 2.53
N 0.0000 0.5000 0.0000  2 Zn 2.02
N 0.5000 0.0000 0.0000  2 Zn 2.02